KSrTa2, relaxed, DFT PBE; SG = P4/mmm (123); ΔE to the lowest computed polymorph = 659 meV per atom; ΔE_f = 1.334 eV per atom
1.0
-1.963 1.728 -1.292
-2.043 -0.927 1.864
2.909 9.052 7.688
Ta K Sr
2 1 1
Cartesian
2.859 8.897 7.556
1.505 4.682 3.976
-1.275 2.664 2.208
0.179 7.190 6.052

---

KSr2Ta, relaxed, DFT PBE; SG = P2/m (10); ΔE to the lowest computed polymorph = 0 meV per atom; ΔE_f = 0.777 eV per atom
1.0
3.596 0.000 0.000
0.000 3.593 0.023
0.000 3.492 12.233
Ta Sr K
1 2 1
Cartesian
1.798 1.771 3.064
0.000 3.552 5.342
0.000 3.582 0.808
1.798 5.313 9.192

---

KSrTa2, relaxed, DFT PBE; SG = F-43m (216); ΔE to the lowest computed polymorph = 818 meV per atom; ΔE_f = 1.492 eV per atom
1.0
-3.172 -4.095 0.759
1.980 -4.594 1.544
-0.909 -1.744 4.852
Ta K Sr
2 1 1
Cartesian
-0.525 -2.608 1.789
0.000 0.000 0.000
-1.051 -5.216 3.577
-1.576 -7.825 5.366

---

KSrTa2, relaxed, DFT PBE; SG = Imm2 (44); ΔE to the lowest computed polymorph = 471 meV per atom; ΔE_f = 1.146 eV per atom
1.0
6.909 -0.002 0.003
3.198 6.125 -0.003
-3.991 -4.815 2.936
Sr Ta K
1 2 1
Cartesian
1.913 2.053 1.467
9.663 5.853 0.000
4.425 -0.612 1.470
5.277 3.197 0.000

---

KSrTa2, relaxed, DFT PBE; SG = P4/mmm (123); ΔE to the lowest computed polymorph = 729 meV per atom; ΔE_f = 1.404 eV per atom
1.0
5.992 0.000 0.000
0.000 4.117 0.000
0.000 0.000 4.117
Sr Ta K
1 2 1
Cartesian
2.996 0.000 2.058
0.000 0.000 0.000
0.000 2.058 2.058
2.996 2.058 0.000

---

KSrTa2, relaxed, DFT PBE; SG = C2/m (12); ΔE to the lowest computed polymorph = 501 meV per atom; ΔE_f = 1.176 eV per atom
1.0
-5.802 -1.727 -1.615
-4.151 -4.248 -1.995
-1.578 -2.105 7.105
Sr Ta K
1 2 1
Cartesian
-2.883 -2.020 0.874
-10.062 -6.166 -2.810
-5.658 -3.848 0.947
-8.649 -6.060 2.621

---

KSrTa2, relaxed, DFT PBE; SG = P4mm (99); ΔE to the lowest computed polymorph = 0 meV per atom; ΔE_f = 0.675 eV per atom
1.0
3.588 0.000 0.000
0.000 3.588 0.000
0.000 0.000 10.123
Sr Ta K
1 2 1
Cartesian
1.794 1.794 8.404
0.000 0.000 0.645
1.794 1.794 1.661
0.000 0.000 4.474

---

K4SrTa, relaxed, DFT PBE; SG = F-43m (216); ΔE_f = 1.068 eV per atom
1.0
6.755 -2.554 1.686
1.812 -7.016 -1.579
4.872 -1.446 -5.401
K Sr Ta
4 1 1
Cartesian
7.487 -4.844 -4.716
5.015 -4.111 -1.975
5.934 -7.670 -2.776
8.442 -5.407 -1.120
10.079 -8.262 -3.970
0.000 0.000 0.000

---

KSrTa2, relaxed, DFT PBE; SG = C2/m (12); ΔE to the lowest computed polymorph = 656 meV per atom; ΔE_f = 1.331 eV per atom
1.0
6.807 -0.007 -0.001
-4.338 5.245 -0.001
0.421 0.892 2.813
K Sr Ta
1 1 2
Cartesian
3.614 0.442 1.406
-1.959 3.069 1.406
1.234 2.619 -0.001
0.000 0.000 0.000

---

KSr2Ta, relaxed, DFT PBE; SG = R-3m (166); ΔE to the lowest computed polymorph = 72 meV per atom; ΔE_f = 0.849 eV per atom
1.0
13.349 0.003 0.002
12.851 3.612 0.002
12.851 1.773 3.147
Ta Sr K
1 2 1
Cartesian
9.762 1.347 0.787
38.366 5.293 3.094
20.209 2.788 1.630
29.287 4.040 2.362

---

KSr2Ta, relaxed, DFT PBE; SG = P4mm (99); ΔE to the lowest computed polymorph = 318 meV per atom; ΔE_f = 1.094 eV per atom
1.0
4.357 0.000 0.000
0.000 4.357 0.000
0.000 0.000 9.477
Sr Ta K
2 1 1
Cartesian
2.179 2.179 2.918
0.000 0.000 0.495
0.000 0.000 4.155
2.179 2.179 6.648

---

KSrTa2, relaxed, DFT PBE; SG = P2/m (10); ΔE to the lowest computed polymorph = 479 meV per atom; ΔE_f = 1.154 eV per atom
1.0
5.989 0.000 0.000
0.000 3.084 -0.110
0.000 1.979 7.593
Ta Sr K
2 1 1
Cartesian
0.000 2.811 4.591
0.000 4.784 6.634
2.994 3.797 5.612
2.994 1.266 1.871

---

KSr2Ta, relaxed, DFT PBE; SG = Fm-3m (225); ΔE to the lowest computed polymorph = 277 meV per atom; ΔE_f = 1.054 eV per atom
1.0
0.000 4.299 4.299
4.299 0.000 4.299
4.299 4.299 0.000
Ta K Sr
1 1 2
Cartesian
4.299 4.299 4.299
0.000 0.000 0.000
2.150 2.150 2.150
6.449 6.449 6.449

---

KSrTa2, relaxed, DFT PBE; SG = Cmmm (65); ΔE to the lowest computed polymorph = 604 meV per atom; ΔE_f = 1.278 eV per atom
1.0
2.945 0.020 0.000
-0.937 2.792 0.000
0.000 0.000 12.447
K Sr Ta
1 1 2
Cartesian
1.004 1.406 3.112
1.004 1.406 9.336
0.000 0.000 12.261
0.000 0.000 6.410

---

KSr4Ta, relaxed, DFT PBE; SG = F-43m (216); ΔE_f = 1.043 eV per atom
1.0
0.000 5.228 5.228
5.228 0.000 5.228
5.228 5.228 0.000
Ta Sr K
1 4 1
Cartesian
7.842 7.842 7.842
3.934 6.522 6.522
6.522 3.934 6.522
3.934 3.934 3.934
6.522 6.522 3.934
0.000 0.000 0.000